No. 1
VASP calculation (GGA-PBE) on crystalline Cd2AsPd at its relaxed geometry.

a = 2.938 Å, b = 2.938 Å, c = 10.985 Å
α = 82.32°, β = 82.32°, γ = 60.00°
Positions (direct):
Cd 0.083 0.083 0.751
Cd 0.917 0.917 0.249
Pd 0.000 0.000 0.000
As 0.500 0.500 0.500

Values from the calculation:
raw total energy = -10.98 eV per formula unit
space group = No. 166
energy of formation from the pure elements = 0.1727 eV/atom
D(E_F) = 0.6185 states/eV/atom

No. 2
VASP calculation (GGA-PBE) on crystalline Nd2Al5Ag12 at its relaxed geometry.

a = 7.216 Å, b = 7.216 Å, c = 7.216 Å
α = 82.33°, β = 82.33°, γ = 82.33°
Positions (direct):
Ag 0.299 0.000 0.701
Ag 0.701 0.000 0.299
Al 0.000 0.000 0.500
Ag 0.000 0.299 0.701
Al 0.500 0.000 0.000
Al 0.095 0.095 0.095
Nd 0.337 0.337 0.337
Ag 0.000 0.701 0.299
Ag 0.657 0.657 0.140
Al 0.905 0.905 0.905
Ag 0.860 0.343 0.343
Nd 0.663 0.663 0.663
Ag 0.343 0.343 0.860
Al 0.000 0.500 0.000
Ag 0.343 0.860 0.343
Ag 0.701 0.299 0.000
Ag 0.140 0.657 0.657
Ag 0.299 0.701 0.000
Ag 0.657 0.140 0.657

Values from the calculation:
raw total energy = -66.04 eV per formula unit
space group = No. 166
energy of formation from the pure elements = -0.1885 eV/atom
D(E_F) = 0.3719 states/eV/atom

No. 3
VASP calculation (GGA-PBE) on crystalline BaBrF at its relaxed geometry.

a = 4.970 Å, b = 4.970 Å, c = 7.891 Å
α = 71.64°, β = 71.64°, γ = 90.00°
Positions (direct):
Br 0.404 0.844 0.108
F 0.654 0.094 0.609
Ba 0.248 0.189 0.420
F 0.154 0.595 0.608
Ba 0.560 0.500 0.797
Br 0.904 0.344 0.108

Values from the calculation:
raw total energy = -14.17 eV per formula unit
space group = No. 139
energy relative to the elements, uncorrected = -839 kJ/mol of formula units
D(E_F) = 0.0000 states/eV/atom

No. 4
VASP calculation (GGA-PBE) on crystalline Sm3ErPa3N8 at its relaxed geometry.

a = 7.018 Å, b = 7.017 Å, c = 7.025 Å
α = 119.96°, β = 90.01°, γ = 120.00°
Positions (direct):
N 0.743 0.486 0.729
Pa 0.500 0.000 0.500
Sm 0.500 0.500 0.000
Sm 0.000 0.000 0.000
N 0.736 0.972 0.707
N 0.257 0.514 0.271
N 0.764 0.528 0.293
Pa 0.000 0.500 0.500
N 0.236 0.972 0.707
Sm 0.000 0.500 0.000
Er 0.000 0.000 0.500
N 0.264 0.028 0.293
Pa 0.500 0.500 0.500
N 0.236 0.472 0.707
N 0.764 0.028 0.293

Values from the calculation:
raw total energy = -136.17 eV per formula unit
space group = No. 166
energy relative to the elements, uncorrected = -2157 kJ/mol of formula units
D(E_F) = 0.2951 states/eV/atom

No. 5
VASP calculation (GGA-PBE) on crystalline Sm5Er4Al at its relaxed geometry.

a = 3.573 Å, b = 3.573 Å, c = 24.123 Å
α = 90.00°, β = 90.00°, γ = 90.00°
Positions (direct):
Er 0.000 0.000 0.396
Sm 0.500 0.500 0.500
Sm 0.500 0.500 0.291
Sm 0.500 0.500 0.920
Sm 0.500 0.500 0.080
Al 0.000 0.000 0.000
Er 0.000 0.000 0.812
Er 0.000 0.000 0.604
Sm 0.500 0.500 0.709
Er 0.000 0.000 0.188

Values from the calculation:
raw total energy = -46.08 eV per formula unit
space group = No. 123
energy of formation from the pure elements = -0.0488 eV/atom
D(E_F) = 1.3669 states/eV/atom

No. 6
VASP calculation (GGA-PBE) on crystalline Ho2Er3Th2 at its relaxed geometry.

a = 3.554 Å, b = 9.385 Å, c = 7.861 Å
α = 64.99°, β = 76.92°, γ = 100.88°
Positions (direct):
Er 0.000 0.000 0.000
Er 0.293 0.433 0.846
Th 0.142 0.713 0.428
Ho 0.576 0.860 0.709
Er 0.707 0.567 0.154
Th 0.858 0.287 0.572
Ho 0.424 0.140 0.291

Values from the calculation:
raw total energy = -37.52 eV per formula unit
space group = No. 2
energy of formation from the pure elements = 0.0237 eV/atom
D(E_F) = 1.3148 states/eV/atom

No. 7
VASP calculation (GGA-PBE) on crystalline AlZn2CdB at its relaxed geometry.

a = 4.132 Å, b = 4.853 Å, c = 4.132 Å
α = 90.00°, β = 90.00°, γ = 90.00°
Positions (direct):
Cd 0.500 0.500 0.500
Al 0.000 0.500 0.000
B 0.000 0.000 0.000
Zn 0.500 0.000 0.000
Zn 0.000 0.000 0.500

Values from the calculation:
raw total energy = -12.16 eV per formula unit
space group = No. 123
energy of formation from the pure elements = 0.3436 eV/atom
D(E_F) = 0.3142 states/eV/atom

No. 8
VASP calculation (GGA-PBE) on crystalline AcPrCdBr at its relaxed geometry.

a = 5.625 Å, b = 5.625 Å, c = 5.625 Å
α = 60.00°, β = 60.00°, γ = 60.00°
Positions (direct):
Pr 0.500 0.500 0.500
Ac 0.000 0.000 0.000
Br 0.250 0.250 0.250
Cd 0.750 0.750 0.750

Values from the calculation:
raw total energy = -13.65 eV per formula unit
space group = No. 216
energy relative to the elements, uncorrected = -210 kJ/mol of formula units
D(E_F) = 1.2547 states/eV/atom

No. 9
VASP calculation (GGA-PBE) on crystalline In2GaNiI at its relaxed geometry.

a = 5.181 Å, b = 5.181 Å, c = 4.721 Å
α = 90.00°, β = 90.00°, γ = 90.00°
Positions (direct):
Ga 0.000 0.000 0.500
I 0.500 0.500 0.500
Ni 0.000 0.000 0.000
In 0.500 0.000 0.000
In 0.000 0.500 0.000

Values from the calculation:
raw total energy = -16.93 eV per formula unit
space group = No. 123
energy relative to the elements, uncorrected = -106 kJ/mol of formula units
D(E_F) = 0.3324 states/eV/atom

No. 10
VASP calculation (GGA-PBE) on crystalline CrCd2Ir at its relaxed geometry.

a = 4.825 Å, b = 2.901 Å, c = 5.012 Å
α = 85.46°, β = 90.00°, γ = 90.00°
Last column: magnetic moment on the atom in μB.
Positions (direct):
Cr 0.500 0.250 0.250  3.33
Ir 0.500 0.750 0.750  -0.12
Cd 0.000 0.992 0.997  -0.01
Cd 0.000 0.508 0.503  -0.01

Values from the calculation:
raw total energy = -18.94 eV per formula unit
space group = No. 10
energy of formation from the pure elements = 0.3436 eV/atom
D(E_F) = 0.8084 states/eV/atom

No. 11
VASP calculation (GGA-PBE) on crystalline Dy5Tm4In at its relaxed geometry.

a = 5.756 Å, b = 7.965 Å, c = 7.965 Å
α = 82.50°, β = 68.82°, γ = 68.82°
Positions (direct):
Dy 0.141 0.000 0.628
Dy 0.768 0.372 0.000
Dy 0.141 0.628 0.000
Tm 0.777 0.683 0.683
Dy 0.668 0.000 0.000
Tm 0.459 0.683 0.317
Dy 0.768 0.000 0.372
In 0.186 0.000 0.000
Tm 0.142 0.317 0.317
Tm 0.459 0.317 0.683

Values from the calculation:
raw total energy = -42.18 eV per formula unit
space group = No. 107
energy of formation from the pure elements = 0.1453 eV/atom
D(E_F) = 1.3204 states/eV/atom

No. 12
VASP calculation (GGA-PBE) on crystalline CsZnSbH2 at its relaxed geometry.

a = 4.727 Å, b = 4.727 Å, c = 6.716 Å
α = 103.00°, β = 103.27°, γ = 109.11°
Positions (direct):
Sb 0.042 0.556 0.511
H 0.314 0.284 0.511
H 0.772 0.826 0.511
Cs 0.291 0.298 0.011
Zn 0.543 0.055 0.511

Values from the calculation:
raw total energy = -12.74 eV per formula unit
space group = No. 1
D(E_F) = 0.2394 states/eV/atom